(1)
Crystalline Dy2ErTm2Lu2Cu2Te2 at its relaxed geometry, computed with PBE.

## Properties
- E_tot: -4.708 eV/atom
- SG: Imm2, No. 44

abc: 9.205 9.205 9.205
angles: 155.25 67.90 117.91
Fractional positions:
Dy1 0.145 0.000 0.145
Dy2 0.855 0.000 0.855
Er1 0.762 0.262 0.500
Tm1 0.216 0.848 0.369
Tm2 0.479 0.848 0.631
Lu1 0.457 0.642 0.815
Lu2 0.826 0.642 0.185
Cu1 0.069 0.332 0.737
Cu2 0.595 0.332 0.263
Te1 0.102 0.602 0.500
Te2 0.497 0.497 0.000

---

(2)
Crystalline PmThSc at its relaxed geometry, computed with PBE.

## Properties
- E_tot: -5.457 eV/atom
- E above lowest polymorph: 0.000 eV/f.u.
- DFT formation energy: 0.7056 eV per atom
- SG: F-43m, No. 216

abc: 5.283 5.283 5.283
angles: 60.00 60.00 60.00
Fractional positions:
Pm1 0.000 0.000 0.000
Th1 0.500 0.500 0.500
Sc1 0.250 0.250 0.250